[1]
! Np2Al9Pt3 | Alexandria | PBE | optimized geometry; values from VASP
&SYSTEM
  ibrav = 0, nat = 28, ntyp = 3
/
ATOMIC_SPECIES
Np 237.00 Np.upf
Al 26.98 Al.upf
Pt 195.08 Pt.upf
CELL_PARAMETERS angstrom
6.6224 -3.8135 0.0000
6.6224 3.8135 0.0000
-4.4177 0.0000 9.5320
ATOMIC_POSITIONS crystal
Np 0.0844 0.2519 0.2502
Np 0.2519 0.0844 0.7502
Np 0.7481 0.9156 0.2498
Np 0.9156 0.7481 0.7498
Al 0.0230 0.8597 0.0746
Al 0.1403 0.9770 0.4254
Al 0.1900 0.3584 0.5739
Al 0.2101 0.5816 0.2515
Al 0.3102 0.4798 0.9369
Al 0.3584 0.1900 0.0739
Al 0.3733 0.6267 0.7500
Al 0.4184 0.7899 0.2485
Al 0.4798 0.3102 0.4369
Al 0.5202 0.6898 0.5631
Al 0.5816 0.2101 0.7515
Al 0.6267 0.3733 0.2500
Al 0.6416 0.8100 0.9261
Al 0.6898 0.5202 0.0631
Al 0.7899 0.4184 0.7485
Al 0.8100 0.6416 0.4261
Al 0.8597 0.0230 0.5746
Al 0.9770 0.1403 0.9254
Pt 0.0000 0.5000 0.0000
Pt 0.1625 0.6693 0.5001
Pt 0.3307 0.8375 0.9999
Pt 0.5000 0.0000 0.5000
Pt 0.6693 0.1625 0.0001
Pt 0.8375 0.3307 0.4999
! Formation enthalpy at 0 K, meV/atom: -632.5
! DOS at the Fermi energy, states/eV/atom: 1.6923

=====

[2]
! HoPuFeTc | Alexandria | PBE | optimized geometry; values from VASP
&SYSTEM
  ibrav = 0, nat = 4, ntyp = 4
/
ATOMIC_SPECIES
Ho 164.93 Ho.upf
Pu 244.00 Pu.upf
Fe 55.84 Fe.upf
Tc 98.00 Tc.upf
CELL_PARAMETERS angstrom
0.0000 3.3636 3.3636
3.3636 0.0000 3.3636
3.3636 3.3636 0.0000
ATOMIC_POSITIONS crystal
Ho 0.0000 0.0000 0.0000
Pu 0.5000 0.5000 0.5000
Fe 0.2500 0.2500 0.2500
Tc 0.7500 0.7500 0.7500
! Formation enthalpy at 0 K, meV/atom: 55.9
! DOS at the Fermi energy, states/eV/atom: 1.5671

=====

[3]
! U2Ag2PdSe6 | Alexandria | PBE | optimized geometry; values from VASP
&SYSTEM
  ibrav = 0, nat = 11, ntyp = 4
/
ATOMIC_SPECIES
U 238.03 U.upf
Ag 107.87 Ag.upf
Pd 106.42 Pd.upf
Se 78.96 Se.upf
CELL_PARAMETERS angstrom
3.4432 -6.1221 0.0000
3.4432 6.1221 0.0000
-2.6985 0.0000 6.4521
ATOMIC_POSITIONS crystal
U 0.1668 0.8332 0.0000
U 0.8332 0.1668 0.0000
Ag 0.3239 0.6761 0.5000
Ag 0.6761 0.3239 0.5000
Pd 0.5000 0.5000 0.0000
Se 0.0793 0.4058 0.7584
Se 0.2742 0.2742 0.2349
Se 0.4058 0.0793 0.7584
Se 0.5942 0.9207 0.2416
Se 0.7258 0.7258 0.7651
Se 0.9207 0.5942 0.2416
! Formation energy without anion corrections, kJ per mole of atoms: -60.7
! DOS at the Fermi energy, states/eV/atom: 1.5454

=====

[4]
! Ce2Nd2N3 | Alexandria | PBE | optimized geometry; values from VASP
&SYSTEM
  ibrav = 0, nat = 7, ntyp = 3
/
ATOMIC_SPECIES
Ce 140.12 Ce.upf
Nd 144.24 Nd.upf
N 14.01 N.upf
CELL_PARAMETERS angstrom
6.0423 -1.7909 0.0000
6.0423 1.7909 0.0000
-1.1253 0.0000 6.2165
ATOMIC_POSITIONS crystal
Ce 0.1268 0.1268 0.3884
Ce 0.8732 0.8732 0.6116
Nd 0.3653 0.3653 0.1323
Nd 0.6347 0.6347 0.8677
N 0.2510 0.2510 0.7320
N 0.5000 0.5000 0.5000
N 0.7490 0.7490 0.2680
! Formation energy without anion corrections, kJ per mole of atoms: -115.3
! DOS at the Fermi energy, states/eV/atom: 1.0460

=====

[5]
! MnV2Ga | Alexandria | PBE | optimized geometry; values from VASP
&SYSTEM
  ibrav = 0, nat = 4, ntyp = 3
/
ATOMIC_SPECIES
Mn 54.94 Mn.upf
V 50.94 V.upf
Ga 69.72 Ga.upf
CELL_PARAMETERS angstrom
3.6054 0.0000 0.0000
0.0000 3.6054 0.0000
0.0000 0.0000 4.0373
ATOMIC_POSITIONS crystal
Mn 0.0000 0.0000 0.0000
V 0.0000 0.5000 0.5000
V 0.5000 0.0000 0.5000
Ga 0.5000 0.5000 0.0000
! Formation enthalpy at 0 K, meV/atom: -136.5
! DOS at the Fermi energy, states/eV/atom: 0.9554

=====

[6]
! TaZn2Co3 | Alexandria | PBE | optimized geometry; values from VASP
&SYSTEM
  ibrav = 0, nat = 12, ntyp = 3
/
ATOMIC_SPECIES
Ta 180.95 Ta.upf
Zn 65.41 Zn.upf
Co 58.93 Co.upf
CELL_PARAMETERS angstrom
2.0970 -6.2825 0.0000
2.0970 6.2825 0.0000
0.0000 0.0000 5.7567
ATOMIC_POSITIONS crystal
Ta 0.1594 0.8406 0.0000
Ta 0.8406 0.1594 0.0000
Zn 0.1688 0.8312 0.5000
Zn 0.5000 0.5000 0.0000
Zn 0.5000 0.5000 0.5000
Zn 0.8312 0.1688 0.5000
Co 0.0000 0.0000 0.2622
Co 0.0000 0.0000 0.7378
Co 0.3310 0.6690 0.2480
Co 0.3310 0.6690 0.7520
Co 0.6690 0.3310 0.2480
Co 0.6690 0.3310 0.7520
! Formation enthalpy at 0 K, meV/atom: -169.1
! DOS at the Fermi energy, states/eV/atom: 0.5454

=====

[7]
! CuBr2N | Alexandria | PBE | optimized geometry; values from VASP
&SYSTEM
  ibrav = 0, nat = 8, ntyp = 3
/
ATOMIC_SPECIES
Cu 63.55 Cu.upf
Br 79.90 Br.upf
N 14.01 N.upf
CELL_PARAMETERS angstrom
-2.5390 2.5390 6.3972
2.5390 -2.5390 6.3972
2.5390 2.5390 -6.3972
ATOMIC_POSITIONS crystal
Cu 0.0000 0.0000 0.0000
Cu 0.7500 0.2500 0.5000
Br 0.1673 0.6250 0.0423
Br 0.3750 0.4173 0.5423
Br 0.5827 0.1250 0.9577
Br 0.8750 0.8327 0.4577
N 0.2500 0.7500 0.5000
N 0.5000 0.5000 0.0000
! E above lowest polymorph, eV per formula unit: 0.00
! Formation energy without anion corrections, kJ per mole of atoms: 107.4
! DOS at the Fermi energy, states/eV/atom: 0.0271

=====

[8]
! BaSr3As | Alexandria | PBE | optimized geometry; values from VASP
&SYSTEM
  ibrav = 0, nat = 5, ntyp = 3
/
ATOMIC_SPECIES
Ba 137.33 Ba.upf
Sr 87.62 Sr.upf
As 74.92 As.upf
CELL_PARAMETERS angstrom
6.2265 0.0000 0.0000
0.0000 6.2265 0.0000
0.0000 0.0000 6.2265
ATOMIC_POSITIONS crystal
Ba 0.0000 0.0000 0.0000
Sr 0.0000 0.5000 0.5000
Sr 0.5000 0.0000 0.5000
Sr 0.5000 0.5000 0.0000
As 0.5000 0.5000 0.5000
! Formation enthalpy at 0 K, meV/atom: -465.7
! E above lowest polymorph, eV per formula unit: 0.00
! DOS at the Fermi energy, states/eV/atom: 1.1501

=====

[9]
! Rb3AgSn4 | Alexandria | PBE | optimized geometry; values from VASP
&SYSTEM
  ibrav = 0, nat = 16, ntyp = 3
/
ATOMIC_SPECIES
Rb 85.47 Rb.upf
Ag 107.87 Ag.upf
Sn 118.71 Sn.upf
CELL_PARAMETERS angstrom
7.1586 0.0000 0.0000
0.0000 13.3825 0.0000
0.0000 0.0000 6.7755
ATOMIC_POSITIONS crystal
Rb 0.2500 0.0060 0.1725
Rb 0.2500 0.2500 0.5568
Rb 0.2500 0.4940 0.1725
Rb 0.7500 0.5060 0.8275
Rb 0.7500 0.7500 0.4432
Rb 0.7500 0.9940 0.8275
Ag 0.2500 0.7500 0.3119
Ag 0.7500 0.2500 0.6881
Sn 0.0273 0.7500 0.9565
Sn 0.2500 0.6332 0.6694
Sn 0.2500 0.8668 0.6694
Sn 0.4727 0.7500 0.9565
Sn 0.5273 0.2500 0.0435
Sn 0.7500 0.1332 0.3306
Sn 0.7500 0.3668 0.3306
Sn 0.9727 0.2500 0.0435
! Formation enthalpy at 0 K, meV/atom: -273.2

=====

[10]
! MgC3 | Alexandria | PBE | optimized geometry; values from VASP
&SYSTEM
  ibrav = 0, nat = 8, ntyp = 2
/
ATOMIC_SPECIES
Mg 24.30 Mg.upf
C 12.01 C.upf
CELL_PARAMETERS angstrom
2.4774 -7.7361 0.0000
2.4774 7.7361 0.0000
0.0000 0.0000 2.5516
ATOMIC_POSITIONS crystal
Mg 0.1754 0.8246 0.7500
Mg 0.8246 0.1754 0.2500
C 0.2245 0.4981 0.7500
C 0.3040 0.6960 0.2500
C 0.4981 0.2245 0.2500
C 0.5019 0.7755 0.7500
C 0.6960 0.3040 0.7500
C 0.7755 0.5019 0.2500
! Formation enthalpy at 0 K, meV/atom: 1253.6
! E above lowest polymorph, eV per formula unit: 2.36
! DOS at the Fermi energy, states/eV/atom: 0.0000

=====

[11]
! Pm2ErAg | Alexandria | PBE | optimized geometry; values from VASP
&SYSTEM
  ibrav = 0, nat = 8, ntyp = 3
/
ATOMIC_SPECIES
Pm 145.00 Pm.upf
Er 167.26 Er.upf
Ag 107.87 Ag.upf
CELL_PARAMETERS angstrom
6.0243 -3.1151 0.0000
6.0243 3.1151 0.0000
-1.9294 0.0000 6.1928
ATOMIC_POSITIONS crystal
Pm 0.2077 0.2222 0.1095
Pm 0.2222 0.2077 0.6095
Pm 0.7778 0.7923 0.3905
Pm 0.7923 0.7778 0.8905
Er 0.3300 0.6700 0.7500
Er 0.6700 0.3300 0.2500
Ag 0.1944 0.8056 0.2500
Ag 0.8056 0.1944 0.7500
! Formation enthalpy at 0 K, meV/atom: -35.3
! E above lowest polymorph, eV per formula unit: 0.35
! DOS at the Fermi energy, states/eV/atom: 1.1333

=====

[12]
! DyTmO2 | Alexandria | PBE | optimized geometry; values from VASP
&SYSTEM
  ibrav = 0, nat = 4, ntyp = 3
/
ATOMIC_SPECIES
Dy 162.50 Dy.upf
Tm 168.93 Tm.upf
O 16.00 O.upf
CELL_PARAMETERS angstrom
1.8026 1.0407 6.3988
-1.8026 1.0407 6.3988
0.0000 -2.0814 6.3988
ATOMIC_POSITIONS crystal
Dy 0.0000 0.0000 0.0000
Tm 0.5000 0.5000 0.5000
O 0.3877 0.3877 0.3877
O 0.6123 0.6123 0.6123
! Formation energy without anion corrections, kJ per mole of atoms: -285.3
! DOS at the Fermi energy, states/eV/atom: 0.2014

=====

Please write out number 1 again, unchanged.
! Np2Al9Pt3 | Alexandria | PBE | optimized geometry; values from VASP
&SYSTEM
  ibrav = 0, nat = 28, ntyp = 3
/
ATOMIC_SPECIES
Np 237.00 Np.upf
Al 26.98 Al.upf
Pt 195.08 Pt.upf
CELL_PARAMETERS angstrom
6.6224 -3.8135 0.0000
6.6224 3.8135 0.0000
-4.4177 0.0000 9.5320
ATOMIC_POSITIONS crystal
Np 0.0844 0.2519 0.2502
Np 0.2519 0.0844 0.7502
Np 0.7481 0.9156 0.2498
Np 0.9156 0.7481 0.7498
Al 0.0230 0.8597 0.0746
Al 0.1403 0.9770 0.4254
Al 0.1900 0.3584 0.5739
Al 0.2101 0.5816 0.2515
Al 0.3102 0.4798 0.9369
Al 0.3584 0.1900 0.0739
Al 0.3733 0.6267 0.7500
Al 0.4184 0.7899 0.2485
Al 0.4798 0.3102 0.4369
Al 0.5202 0.6898 0.5631
Al 0.5816 0.2101 0.7515
Al 0.6267 0.3733 0.2500
Al 0.6416 0.8100 0.9261
Al 0.6898 0.5202 0.0631
Al 0.7899 0.4184 0.7485
Al 0.8100 0.6416 0.4261
Al 0.8597 0.0230 0.5746
Al 0.9770 0.1403 0.9254
Pt 0.0000 0.5000 0.0000
Pt 0.1625 0.6693 0.5001
Pt 0.3307 0.8375 0.9999
Pt 0.5000 0.0000 0.5000
Pt 0.6693 0.1625 0.0001
Pt 0.8375 0.3307 0.4999
! Formation enthalpy at 0 K, meV/atom: -632.5
! DOS at the Fermi energy, states/eV/atom: 1.6923